(1)
# OsI2 | the Open Quantum Materials Database | PBE | relaxed
# Symmetry: Fd-3m
data_OsI2
_cell_length_a 8.4058
_cell_length_b 8.4058
_cell_length_c 8.4058
_cell_angle_alpha 60.00
_cell_angle_beta 60.00
_cell_angle_gamma 60.00
_space_group_name_H-M_alt 'P 1'
_space_group_IT_number 1
loop_
_space_group_symop_operation_xyz
'x,y,z'
loop_
_atom_site_label
_atom_site_type_symbol
_atom_site_fract_x
_atom_site_fract_y
_atom_site_fract_z
I1 I 0.8750 0.3750 0.3750
I2 I 0.3750 0.3750 0.8750
I3 I 0.3750 0.8750 0.3750
Os1 Os 0.5000 0.5000 0.5000
I4 I 0.3750 0.3750 0.3750
Os2 Os 0.2500 0.2500 0.2500

***

(2)
# KErZnO3 | the Open Quantum Materials Database | PBE | relaxed
# Symmetry: Cmcm
data_KErZnO3
_cell_length_a 6.2603
_cell_length_b 6.2603
_cell_length_c 8.9147
_cell_angle_alpha 90.00
_cell_angle_beta 90.00
_cell_angle_gamma 31.99
_space_group_name_H-M_alt 'P 1'
_space_group_IT_number 1
loop_
_space_group_symop_operation_xyz
'x,y,z'
loop_
_atom_site_label
_atom_site_type_symbol
_atom_site_fract_x
_atom_site_fract_y
_atom_site_fract_z
Zn1 Zn 0.5629 0.5629 0.7500
Er1 Er 0.0000 0.0000 0.0000
Zn2 Zn 0.4371 0.4371 0.2500
O1 O 0.9632 0.9632 0.7500
O2 O 0.0368 0.0368 0.2500
O3 O 0.3836 0.3836 0.4502
O4 O 0.6164 0.6164 0.9502
K1 K 0.7155 0.7155 0.2500
K2 K 0.2845 0.2845 0.7500
O5 O 0.6164 0.6164 0.5498
Er2 Er 0.0000 0.0000 0.5000
O6 O 0.3836 0.3836 0.0498

***

(3)
# HfZn2SnIr4 | the Open Quantum Materials Database | PBE | relaxed
# Symmetry: P4/mmm
data_HfZn2SnIr4
_cell_length_a 4.2892
_cell_length_b 4.2892
_cell_length_c 6.8099
_cell_angle_alpha 90.00
_cell_angle_beta 90.00
_cell_angle_gamma 90.00
_space_group_name_H-M_alt 'P 1'
_space_group_IT_number 1
loop_
_space_group_symop_operation_xyz
'x,y,z'
loop_
_atom_site_label
_atom_site_type_symbol
_atom_site_fract_x
_atom_site_fract_y
_atom_site_fract_z
Ir1 Ir 0.5000 0.0000 0.2464
Ir2 Ir 0.0000 0.5000 0.7536
Zn1 Zn 0.0000 0.0000 0.0000
Hf1 Hf 0.0000 0.0000 0.5000
Zn2 Zn 0.5000 0.5000 0.5000
Ir3 Ir 0.5000 0.0000 0.7536
Sn1 Sn 0.5000 0.5000 0.0000
Ir4 Ir 0.0000 0.5000 0.2464

***

(4)
# MgBeAl2Cu4 | the Open Quantum Materials Database | PBE | relaxed
# Polymorph energy (0 for the lowest one) (kJ/mol of atoms): 0.3
# Symmetry: P4/mmm
data_MgBeAl2Cu4
_cell_length_a 4.1307
_cell_length_b 4.1307
_cell_length_c 5.9773
_cell_angle_alpha 90.00
_cell_angle_beta 90.00
_cell_angle_gamma 90.00
_space_group_name_H-M_alt 'P 1'
_space_group_IT_number 1
loop_
_space_group_symop_operation_xyz
'x,y,z'
loop_
_atom_site_label
_atom_site_type_symbol
_atom_site_fract_x
_atom_site_fract_y
_atom_site_fract_z
Al1 Al 0.5000 0.5000 0.5000
Mg1 Mg 0.5000 0.5000 0.0000
Cu1 Cu 0.0000 0.5000 0.2731
Be1 Be 0.0000 0.0000 0.5000
Cu2 Cu 0.5000 0.0000 0.2731
Cu3 Cu 0.0000 0.5000 0.7269
Cu4 Cu 0.5000 0.0000 0.7269
Al2 Al 0.0000 0.0000 0.0000

***

Across the entries above, total DFT energy (no corrections) takes the values -3.728, -5.877, -6.959, -3.592 eV per atom, respectively.